Record 1
The following is a meta-GGA SCAN calculation of Al2ZnP at its PBEsol-relaxed geometry, from Alexandria.

```
data_Al2ZnP
_cell_length_a 2.785
_cell_length_b 3.174
_cell_length_c 6.907
_cell_angle_alpha 90.00
_cell_angle_beta 90.00
_cell_angle_gamma 90.00
_space_group_name_H-M_alt 'P m m m'
_space_group_IT_number 47
loop_
_space_group_symop_operation_xyz
'x,y,z'
'-x,-y,-z'
'-x,-y,z'
'x,y,-z'
'x,-y,-z'
'-x,y,z'
'-x,y,-z'
'x,-y,z'
loop_
_atom_site_label
_atom_site_type_symbol
_atom_site_fract_x
_atom_site_fract_y
_atom_site_fract_z
_atom_site_occupancy
Al1 Al 0.000 0.000 0.229 1
Zn1 Zn 0.500 0.500 0.500 1
P1 P 0.500 0.500 0.000 1
```

Summary:
As for the total energy: -9.77 eV per atom. The theoretical density comes out at 4.1 Mg/m³. Its formation energy is 88 meV per atom. The magnetization is 0.00 μB per cell.

---

Record 2
The following is a meta-GGA SCAN calculation of BeCoNi2 at its PBEsol-relaxed geometry, from Alexandria.

```
data_BeCoNi2
_cell_length_a 2.444
_cell_length_b 3.236
_cell_length_c 4.900
_cell_angle_alpha 90.00
_cell_angle_beta 90.00
_cell_angle_gamma 90.00
_space_group_name_H-M_alt 'P m m 2'
_space_group_IT_number 25
loop_
_space_group_symop_operation_xyz
'x,y,z'
'-x,-y,z'
'-x,y,z'
'x,-y,z'
loop_
_atom_site_label
_atom_site_type_symbol
_atom_site_fract_x
_atom_site_fract_y
_atom_site_fract_z
_atom_site_occupancy
Be1 Be 0.000 0.000 0.000 1
Co1 Co 0.500 0.500 0.253 1
Ni1 Ni 0.000 0.000 0.501 1
Ni2 Ni 0.500 0.500 0.773 1
```

Summary:
As for the total energy: -13.61 eV per atom. The theoretical density comes out at 7.9 Mg/m³. Its formation energy is -107 meV per atom. The magnetization is 2.59 μB per cell.